Run one
# PrNdSm6, optimized geometry, DFT PBE
data_PrNdSm6
_cell_length_a 5.152
_cell_length_b 5.152
_cell_length_c 10.306
_cell_angle_alpha 90.00
_cell_angle_beta 90.00
_cell_angle_gamma 90.00
_space_group_name_H-M_alt 'P 4/m m m'
_space_group_IT_number 123
_space_group_name_Hall '-P 4 2'
loop_
_atom_site_label
_atom_site_type_symbol
_atom_site_fract_x
_atom_site_fract_y
_atom_site_fract_z
Pr1 Pr 0.000 0.000 0.000
Nd1 Nd 0.000 0.000 0.500
Sm1 Sm 0.000 0.500 0.251
Sm2 Sm 0.500 0.500 0.000
Sm3 Sm 0.500 0.500 0.500
# Total magnetization (μB/f.u.): 0.0

---

Run two
# PrNdSm6, optimized geometry, DFT PBE
data_PrNdSm6
_cell_length_a 9.086
_cell_length_b 9.418
_cell_length_c 6.635
_cell_angle_alpha 90.00
_cell_angle_beta 97.84
_cell_angle_gamma 90.00
_space_group_name_H-M_alt 'C 1 2/m 1'
_space_group_IT_number 12
loop_
_space_group_symop_operation_xyz
'x,y,z'
'-x,-y,-z'
'-x,y,-z'
'x,-y,z'
'x+1/2,y+1/2,z'
'-x+1/2,-y+1/2,-z'
'-x+1/2,y+1/2,-z'
'x+1/2,-y+1/2,z'
loop_
_atom_site_label
_atom_site_type_symbol
_atom_site_fract_x
_atom_site_fract_y
_atom_site_fract_z
Pr1 Pr 0.000 0.000 0.000
Nd1 Nd 0.000 0.000 0.500
Sm1 Sm 0.153 0.500 0.691
Sm2 Sm 0.164 0.320 0.209
# Total magnetization (μB/f.u.): 0.0

---

Best to worst by energy: run one, run two.

---

Run one
# PrNd3Sm4, optimized geometry, DFT PBE
data_PrNd3Sm4
_cell_length_a 11.851
_cell_length_b 7.386
_cell_length_c 6.389
_cell_angle_alpha 90.00
_cell_angle_beta 90.00
_cell_angle_gamma 90.00
_space_group_name_H-M_alt 'P m n 21'
_space_group_IT_number 31
loop_
_space_group_symop_operation_xyz
'x,y,z'
'-x+1/2,-y,z+1/2'
'-x,y,z'
'x+1/2,-y,z+1/2'
loop_
_atom_site_label
_atom_site_type_symbol
_atom_site_fract_x
_atom_site_fract_y
_atom_site_fract_z
Pr1 Pr 0.000 0.126 0.000
Nd1 Nd 0.000 0.874 0.500
Nd2 Nd 0.250 0.126 0.334
Sm1 Sm 0.000 0.376 0.501
Sm2 Sm 0.000 0.624 0.001
Sm3 Sm 0.250 0.376 0.833
# Total magnetization (μB/f.u.): 0.0

---

Run two
# PrNd3Sm4, optimized geometry, DFT PBE
data_PrNd3Sm4
_cell_length_a 10.344
_cell_length_b 7.320
_cell_length_c 7.319
_cell_angle_alpha 90.00
_cell_angle_beta 90.00
_cell_angle_gamma 90.00
_space_group_name_H-M_alt 'P m n a'
_space_group_IT_number 53
loop_
_space_group_symop_operation_xyz
'x,y,z'
'-x,-y,-z'
'-x+1/2,-y,z+1/2'
'x+1/2,y,-z+1/2'
'x,-y,-z'
'-x,y,z'
'-x+1/2,y,-z+1/2'
'x+1/2,-y,z+1/2'
loop_
_atom_site_label
_atom_site_type_symbol
_atom_site_fract_x
_atom_site_fract_y
_atom_site_fract_z
Pr1 Pr 0.000 0.000 0.000
Nd1 Nd 0.000 0.500 0.500
Nd2 Nd 0.250 0.250 0.250
Sm1 Sm 0.000 0.000 0.500
Sm2 Sm 0.000 0.500 0.000
Sm3 Sm 0.250 0.250 0.750
# Total magnetization (μB/f.u.): 0.0

---

Best to worst by energy: run two, run one.

---

Run one
# Pr3Nd3Sm5, optimized geometry, DFT PBE
data_Pr3Nd3Sm5
_cell_length_a 9.8091
_cell_length_b 9.8091
_cell_length_c 5.5961
_cell_angle_alpha 90.00
_cell_angle_beta 90.00
_cell_angle_gamma 120.00
_space_group_name_H-M_alt 'P -6 2 m'
_space_group_IT_number 189
_space_group_name_Hall 'P -6 -2'
loop_
_atom_site_label
_atom_site_type_symbol
_atom_site_fract_x
_atom_site_fract_y
_atom_site_fract_z
Pr1 Pr 0.0000 0.5807 0.0000
Nd1 Nd 0.0000 0.7318 0.5000
Sm1 Sm 0.0000 0.3655 0.5000
Sm2 Sm 0.3333 0.6667 0.5000
# Total magnetization (μB/f.u.): 0.0

---

Run two
# Pr3Nd3Sm5, optimized geometry, DFT PBE
data_Pr3Nd3Sm5
_cell_length_a 9.7631
_cell_length_b 9.7631
_cell_length_c 5.6366
_cell_angle_alpha 90.00
_cell_angle_beta 90.00
_cell_angle_gamma 120.00
_space_group_name_H-M_alt 'P -6 2 m'
_space_group_IT_number 189
_space_group_name_Hall 'P -6 -2'
loop_
_atom_site_label
_atom_site_type_symbol
_atom_site_fract_x
_atom_site_fract_y
_atom_site_fract_z
Pr1 Pr 0.0000 0.6354 0.0000
Nd1 Nd 0.0000 0.4738 0.5000
Sm1 Sm 0.0000 0.2676 0.0000
Sm2 Sm 0.3333 0.6667 0.0000
# Total magnetization (μB/f.u.): 0.0

---

Best to worst by energy: run one, run two.

---

Run one
# PrNd3Sm, optimized geometry, DFT PBE
data_PrNd3Sm
_cell_length_a 8.189
_cell_length_b 14.170
_cell_length_c 6.355
_cell_angle_alpha 90.00
_cell_angle_beta 90.00
_cell_angle_gamma 90.00
_space_group_name_H-M_alt 'C m c m'
_space_group_IT_number 63
_space_group_name_Hall '-C 2c 2'
loop_
_atom_site_label
_atom_site_type_symbol
_atom_site_fract_x
_atom_site_fract_y
_atom_site_fract_z
Pr1 Pr 0.000 0.201 0.250
Nd1 Nd 0.000 0.000 0.000
Nd2 Nd 0.199 0.401 0.250
Sm1 Sm 0.000 0.334 0.750
# Total magnetization (μB/f.u.): 0.0

---

Run two
# PrNd3Sm, optimized geometry, DFT PBE
data_PrNd3Sm
_cell_length_a 5.539
_cell_length_b 7.473
_cell_length_c 8.608
_cell_angle_alpha 90.00
_cell_angle_beta 90.00
_cell_angle_gamma 90.00
_space_group_name_H-M_alt 'P m m n'
_space_group_IT_number 59
loop_
_space_group_symop_operation_xyz
'x,y,z'
'-x,-y,-z'
'-x+1/2,-y+1/2,z'
'x+1/2,y+1/2,-z'
'x+1/2,-y,-z'
'-x+1/2,y,z'
'-x,y+1/2,-z'
'x,-y+1/2,z'
loop_
_atom_site_label
_atom_site_type_symbol
_atom_site_fract_x
_atom_site_fract_y
_atom_site_fract_z
Pr1 Pr 0.250 0.250 0.237
Nd1 Nd 0.250 0.040 0.754
Nd2 Nd 0.250 0.750 0.447
Sm1 Sm 0.250 0.750 0.061
# Total magnetization (μB/f.u.): 0.0

---

Best to worst by energy: run two, run one.

---

Run one
# PrNd4Sm3, optimized geometry, DFT PBE
data_PrNd4Sm3
_cell_length_a 11.870
_cell_length_b 7.402
_cell_length_c 6.399
_cell_angle_alpha 90.00
_cell_angle_beta 90.00
_cell_angle_gamma 90.00
_space_group_name_H-M_alt 'P m n 21'
_space_group_IT_number 31
loop_
_space_group_symop_operation_xyz
'x,y,z'
'-x+1/2,-y,z+1/2'
'-x,y,z'
'x+1/2,-y,z+1/2'
loop_
_atom_site_label
_atom_site_type_symbol
_atom_site_fract_x
_atom_site_fract_y
_atom_site_fract_z
Pr1 Pr 0.000 0.124 0.000
Nd1 Nd 0.000 0.374 0.499
Nd2 Nd 0.000 0.626 0.001
Nd3 Nd 0.249 0.626 0.667
Sm1 Sm 0.000 0.876 0.500
Sm2 Sm 0.250 0.124 0.668
# Total magnetization (μB/f.u.): 0.0

---

Run two
# PrNd4Sm3, optimized geometry, DFT PBE
data_PrNd4Sm3
_cell_length_a 10.363
_cell_length_b 7.330
_cell_length_c 7.332
_cell_angle_alpha 90.00
_cell_angle_beta 90.00
_cell_angle_gamma 90.00
_space_group_name_H-M_alt 'P m n a'
_space_group_IT_number 53
loop_
_space_group_symop_operation_xyz
'x,y,z'
'-x,-y,-z'
'-x+1/2,-y,z+1/2'
'x+1/2,y,-z+1/2'
'x,-y,-z'
'-x,y,z'
'-x+1/2,y,-z+1/2'
'x+1/2,-y,z+1/2'
loop_
_atom_site_label
_atom_site_type_symbol
_atom_site_fract_x
_atom_site_fract_y
_atom_site_fract_z
Pr1 Pr 0.000 0.000 0.000
Nd1 Nd 0.000 0.000 0.500
Nd2 Nd 0.000 0.500 0.000
Nd3 Nd 0.250 0.251 0.250
Sm1 Sm 0.000 0.500 0.500
Sm2 Sm 0.250 0.251 0.750
# Total magnetization (μB/f.u.): 0.0

---

Best to worst by energy: run two, run one.

---

Run one
# Pr2NdSm6, optimized geometry, DFT PBE
data_Pr2NdSm6
_cell_length_a 7.6887
_cell_length_b 7.6887
_cell_length_c 6.1742
_cell_angle_alpha 90.00
_cell_angle_beta 90.00
_cell_angle_gamma 120.00
_space_group_name_H-M_alt 'P -3 m 1'
_space_group_IT_number 164
_space_group_name_Hall '-P 3 2"'
loop_
_atom_site_label
_atom_site_type_symbol
_atom_site_fract_x
_atom_site_fract_y
_atom_site_fract_z
Pr1 Pr 0.3333 0.6667 0.2840
Nd1 Nd 0.0000 0.0000 0.5000
Sm1 Sm 0.1875 0.3751 0.7900
# Total magnetization (μB/f.u.): 0.0

---

Run two
# Pr2NdSm6, optimized geometry, DFT PBE
data_Pr2NdSm6
_cell_length_a 17.389
_cell_length_b 10.000
_cell_length_c 3.553
_cell_angle_alpha 90.00
_cell_angle_beta 90.08
_cell_angle_gamma 90.00
_space_group_name_H-M_alt 'C 1 2/m 1'
_space_group_IT_number 12
loop_
_space_group_symop_operation_xyz
'x,y,z'
'-x,-y,-z'
'-x,y,-z'
'x,-y,z'
'x+1/2,y+1/2,z'
'-x+1/2,-y+1/2,-z'
'-x+1/2,y+1/2,-z'
'x+1/2,-y+1/2,z'
loop_
_atom_site_label
_atom_site_type_symbol
_atom_site_fract_x
_atom_site_fract_y
_atom_site_fract_z
Pr1 Pr 0.167 0.000 0.000
Nd1 Nd 0.000 0.500 0.000
Sm1 Sm 0.000 0.167 0.500
Sm2 Sm 0.166 0.333 0.500
# Total magnetization (μB/f.u.): 0.0

---

Best to worst by energy: run two, run one.

---

Run one
# Pr4Nd2Sm5, optimized geometry, DFT PBE
data_Pr4Nd2Sm5
_cell_length_a 3.574
_cell_length_b 9.444
_cell_length_c 23.534
_cell_angle_alpha 90.00
_cell_angle_beta 90.00
_cell_angle_gamma 90.00
_space_group_name_H-M_alt 'I m m m'
_space_group_IT_number 71
_space_group_name_Hall '-I 2 2'
loop_
_atom_site_label
_atom_site_type_symbol
_atom_site_fract_x
_atom_site_fract_y
_atom_site_fract_z
Pr1 Pr 0.000 0.000 0.096
Pr2 Pr 0.000 0.296 0.500
Nd1 Nd 0.000 0.000 0.231
Sm1 Sm 0.000 0.197 0.354
Sm2 Sm 0.000 0.500 0.000
# Total magnetization (μB/f.u.): 0.0

---

Run two
# Pr4Nd2Sm5, optimized geometry, DFT PBE
data_Pr4Nd2Sm5
_cell_length_a 24.521
_cell_length_b 3.522
_cell_length_c 9.002
_cell_angle_alpha 90.00
_cell_angle_beta 96.67
_cell_angle_gamma 90.00
_space_group_name_H-M_alt 'C 1 2/m 1'
_space_group_IT_number 12
loop_
_space_group_symop_operation_xyz
'x,y,z'
'-x,-y,-z'
'-x,y,-z'
'x,-y,z'
'x+1/2,y+1/2,z'
'-x+1/2,-y+1/2,-z'
'-x+1/2,y+1/2,-z'
'x+1/2,-y+1/2,z'
loop_
_atom_site_label
_atom_site_type_symbol
_atom_site_fract_x
_atom_site_fract_y
_atom_site_fract_z
Pr1 Pr 0.046 0.000 0.360
Pr2 Pr 0.179 0.500 0.470
Nd1 Nd 0.090 0.000 0.736
Sm1 Sm 0.000 0.500 0.000
Sm2 Sm 0.142 0.000 0.114
Sm3 Sm 0.232 0.000 0.827
# Total magnetization (μB/f.u.): 0.0

---

Best to worst by energy: run two, run one.

---

Run one
# Pr2Nd8Sm3, optimized geometry, DFT PBE
data_Pr2Nd8Sm3
_cell_length_a 15.133
_cell_length_b 9.262
_cell_length_c 6.941
_cell_angle_alpha 90.00
_cell_angle_beta 99.14
_cell_angle_gamma 90.00
_space_group_name_H-M_alt 'C 1 2/m 1'
_space_group_IT_number 12
loop_
_space_group_symop_operation_xyz
'x,y,z'
'-x,-y,-z'
'-x,y,-z'
'x,-y,z'
'x+1/2,y+1/2,z'
'-x+1/2,-y+1/2,-z'
'-x+1/2,y+1/2,-z'
'x+1/2,-y+1/2,z'
loop_
_atom_site_label
_atom_site_type_symbol
_atom_site_fract_x
_atom_site_fract_y
_atom_site_fract_z
Pr1 Pr 0.200 0.000 0.288
Nd1 Nd 0.086 0.500 0.878
Nd2 Nd 0.114 0.320 0.433
Nd3 Nd 0.206 0.000 0.803
Sm1 Sm 0.000 0.000 0.500
Sm2 Sm 0.000 0.168 0.000
# Total magnetization (μB/f.u.): 0.0

---

Run two
# Pr2Nd8Sm3, optimized geometry, DFT PBE
data_Pr2Nd8Sm3
_cell_length_a 13.407
_cell_length_b 11.949
_cell_length_c 6.282
_cell_angle_alpha 90.00
_cell_angle_beta 114.04
_cell_angle_gamma 90.00
_space_group_name_H-M_alt 'C 1 2/m 1'
_space_group_IT_number 12
loop_
_space_group_symop_operation_xyz
'x,y,z'
'-x,-y,-z'
'-x,y,-z'
'x,-y,z'
'x+1/2,y+1/2,z'
'-x+1/2,-y+1/2,-z'
'-x+1/2,y+1/2,-z'
'x+1/2,-y+1/2,z'
loop_
_atom_site_label
_atom_site_type_symbol
_atom_site_fract_x
_atom_site_fract_y
_atom_site_fract_z
Pr1 Pr 0.215 0.000 0.337
Nd1 Nd 0.050 0.000 0.778
Nd2 Nd 0.152 0.500 0.058
Nd3 Nd 0.170 0.242 0.670
Sm1 Sm 0.000 0.255 0.000
Sm2 Sm 0.000 0.500 0.500
# Total magnetization (μB/f.u.): 0.0

---

Best to worst by energy: run two, run one.

---

Run one
# Pr2Nd3Sm6, optimized geometry, DFT PBE
data_Pr2Nd3Sm6
_cell_length_a 6.348
_cell_length_b 8.158
_cell_length_c 8.183
_cell_angle_alpha 107.45
_cell_angle_beta 97.28
_cell_angle_gamma 104.89
_space_group_name_H-M_alt 'P -1'
_space_group_IT_number 2
loop_
_space_group_symop_operation_xyz
'x,y,z'
'-x,-y,-z'
loop_
_atom_site_label
_atom_site_type_symbol
_atom_site_fract_x
_atom_site_fract_y
_atom_site_fract_z
Pr1 Pr 0.227 0.408 0.046
Nd1 Nd 0.409 0.135 0.681
Nd2 Nd 0.500 0.500 0.500
Sm1 Sm 0.044 0.682 0.410
Sm2 Sm 0.136 0.045 0.227
Sm3 Sm 0.318 0.774 0.863
# Total magnetization (μB/f.u.): 0.0

---

Run two
# Pr2Nd3Sm6, optimized geometry, DFT PBE
data_Pr2Nd3Sm6
_cell_length_a 4.855
_cell_length_b 4.855
_cell_length_c 33.913
_cell_angle_alpha 90.00
_cell_angle_beta 90.00
_cell_angle_gamma 90.00
_space_group_name_H-M_alt 'I 4/m m m'
_space_group_IT_number 139
_space_group_name_Hall '-I 4 2'
loop_
_atom_site_label
_atom_site_type_symbol
_atom_site_fract_x
_atom_site_fract_y
_atom_site_fract_z
Pr1 Pr 0.000 0.000 0.046
Nd1 Nd 0.000 0.000 0.298
Nd2 Nd 0.000 0.000 0.500
Sm1 Sm 0.000 0.000 0.196
Sm2 Sm 0.000 0.500 0.121
# Total magnetization (μB/f.u.): 0.0

---

Best to worst by energy: run one, run two.

---

Run one
# PrNd6Sm2, optimized geometry, DFT PBE
data_PrNd6Sm2
_cell_length_a 10.040
_cell_length_b 17.486
_cell_length_c 3.569
_cell_angle_alpha 90.00
_cell_angle_beta 90.00
_cell_angle_gamma 90.00
_space_group_name_H-M_alt 'C m m m'
_space_group_IT_number 65
_space_group_name_Hall '-C 2 2'
loop_
_atom_site_label
_atom_site_type_symbol
_atom_site_fract_x
_atom_site_fract_y
_atom_site_fract_z
Pr1 Pr 0.000 0.000 0.000
Nd1 Nd 0.167 0.500 0.500
Nd2 Nd 0.168 0.167 0.500
Sm1 Sm 0.000 0.333 0.000
# Total magnetization (μB/f.u.): 0.0

---

Run two
# PrNd6Sm2, optimized geometry, DFT PBE
data_PrNd6Sm2
_cell_length_a 7.6289
_cell_length_b 7.6289
_cell_length_c 6.3453
_cell_angle_alpha 90.00
_cell_angle_beta 90.00
_cell_angle_gamma 120.00
_space_group_name_H-M_alt 'P -3 m 1'
_space_group_IT_number 164
_space_group_name_Hall '-P 3 2"'
loop_
_atom_site_label
_atom_site_type_symbol
_atom_site_fract_x
_atom_site_fract_y
_atom_site_fract_z
Pr1 Pr 0.0000 0.0000 0.0000
Nd1 Nd 0.1872 0.3744 0.7066
Sm1 Sm 0.3333 0.6667 0.2125
# Total magnetization (μB/f.u.): 0.9

---

Best to worst by energy: run one, run two.